Record 1
# CaAl3PdPt, relaxed, DFT PBE-GGA
# Volume = 19.00 Å³/atom
# Energy of formation = -599 meV per atom
data_CaAl3PdPt
_chemical_formula_sum 'Ca4 Al12 Pd4 Pt4'
_space_group_name_H-M_alt 'C m c m'
_space_group_IT_number 63
_space_group_name_Hall '-C 2c 2'
_cell_length_a 6.246
_cell_length_b 12.955
_cell_length_c 5.636
_cell_angle_alpha 90.00
_cell_angle_beta 90.00
_cell_angle_gamma 90.00
loop_
_atom_site_label
_atom_site_fract_x
_atom_site_fract_y
_atom_site_fract_z
Ca1 0.000 0.209 0.250
Al1 0.000 0.357 0.750
Al2 0.212 0.000 0.000
Pd1 0.000 0.141 0.750
Pt1 0.000 0.420 0.250

=====

Record 2
# Ca2Al5Pd2Pt, relaxed, DFT PBE-GGA
# Volume = 18.63 Å³/atom
# Energy of formation = -603 meV per atom
data_Ca2Al5Pd2Pt
_chemical_formula_sum 'Ca4 Al10 Pd4 Pt2'
_space_group_name_H-M_alt 'P 4/m b m'
_space_group_IT_number 127
_space_group_name_Hall '-P 4 2ab'
_cell_length_a 10.207
_cell_length_b 10.207
_cell_length_c 3.576
_cell_angle_alpha 90.00
_cell_angle_beta 90.00
_cell_angle_gamma 90.00
loop_
_atom_site_label
_atom_site_fract_x
_atom_site_fract_y
_atom_site_fract_z
Ca1 0.183 0.317 0.000
Al1 0.000 0.500 0.500
Al2 0.049 0.809 0.500
Pd1 0.120 0.620 0.000
Pt1 0.000 0.000 0.000

=====

Record 3
# Ca2Al2PdPt5, relaxed, DFT PBE-GGA
# Volume = 17.57 Å³/atom
# Energy of formation = -805 meV per atom
data_Ca2Al2PdPt5
_chemical_formula_sum 'Ca4 Al4 Pd2 Pt10'
_space_group_name_H-M_alt 'P 4/m b m'
_space_group_IT_number 127
_space_group_name_Hall '-P 4 2ab'
_cell_length_a 9.735
_cell_length_b 9.735
_cell_length_c 3.708
_cell_angle_alpha 90.00
_cell_angle_beta 90.00
_cell_angle_gamma 90.00
loop_
_atom_site_label
_atom_site_fract_x
_atom_site_fract_y
_atom_site_fract_z
Ca1 0.177 0.323 0.000
Al1 0.124 0.624 0.000
Pd1 0.000 0.000 0.000
Pt1 0.000 0.500 0.500
Pt2 0.064 0.792 0.500

=====

Record 4
# CaAlPd2S, relaxed, DFT PBE-GGA
# Volume = 21.01 Å³/atom
# Formation energy (no corrections) = -0.2839 eV/atom
data_CaAlPd2S
_chemical_formula_sum 'Ca1 Al1 Pd2 S1'
_space_group_name_H-M_alt 'P 4/m m m'
_space_group_IT_number 123
_space_group_name_Hall '-P 4 2'
_cell_length_a 4.634
_cell_length_b 4.634
_cell_length_c 4.890
_cell_angle_alpha 90.00
_cell_angle_beta 90.00
_cell_angle_gamma 90.00
loop_
_atom_site_label
_atom_site_fract_x
_atom_site_fract_y
_atom_site_fract_z
Ca1 0.000 0.000 0.000
Al1 0.500 0.500 0.000
Pd1 0.000 0.500 0.500
S1 0.500 0.500 0.500

=====

Record 5
# Ca2AlSbPd6, relaxed, DFT PBE-GGA
# Volume = 19.22 Å³/atom
# Formation energy (no corrections) = -0.6301 eV/atom
data_Ca2AlSbPd6
_chemical_formula_sum 'Ca2 Al1 Sb1 Pd6'
_space_group_name_H-M_alt 'P -1'
_space_group_IT_number 2
_space_group_name_Hall '-P 1'
_cell_length_a 5.152
_cell_length_b 6.049
_cell_length_c 6.902
_cell_angle_alpha 72.60
_cell_angle_beta 69.80
_cell_angle_gamma 80.38
loop_
_atom_site_label
_atom_site_fract_x
_atom_site_fract_y
_atom_site_fract_z
Ca1 0.030 0.346 0.305
Al1 0.500 0.000 0.000
Sb1 0.500 0.000 0.500
Pd1 0.021 0.112 0.784
Pd2 0.366 0.691 0.903
Pd3 0.467 0.655 0.310

=====

Record 6
# CaAlSi2Pd5, relaxed, DFT PBE-GGA
# Volume = 17.09 Å³/atom
# Formation energy (no corrections) = -0.5768 eV/atom
data_CaAlSi2Pd5
_chemical_formula_sum 'Ca1 Al1 Si2 Pd5'
_space_group_name_H-M_alt 'P 4/m m m'
_space_group_IT_number 123
_space_group_name_Hall '-P 4 2'
_cell_length_a 4.652
_cell_length_b 4.652
_cell_length_c 7.108
_cell_angle_alpha 90.00
_cell_angle_beta 90.00
_cell_angle_gamma 90.00
loop_
_atom_site_label
_atom_site_fract_x
_atom_site_fract_y
_atom_site_fract_z
Ca1 0.000 0.000 0.000
Al1 0.000 0.000 0.500
Si1 0.500 0.500 0.341
Pd1 0.000 0.500 0.280
Pd2 0.500 0.500 0.000